The following is a DFT calculation (PBE) of an optimized crystal structure of Ce2In5Ir3.

POSCAR file:
```
Ce2In5Ir3
1.0
-1.3183 3.7517 1.8232
-3.4230 -3.8788 5.5064
11.8241 -1.4657 6.3177
In Ce Ir
10 4 6
direct
0.4021 0.4077 0.8041
0.7070 0.3774 0.4140
0.2930 0.8774 0.5860
0.7073 0.9811 0.4147
0.8721 0.7502 0.7443
0.0535 0.6419 0.1070
0.1279 0.2502 0.2557
0.9465 0.1419 0.8930
0.5979 0.9077 0.1959
0.2927 0.4811 0.5853
0.4718 0.8042 0.9436
0.5282 0.3042 0.0564
0.1768 0.6798 0.3536
0.8232 0.1798 0.6464
0.2351 0.1783 0.4702
0.0428 0.0224 0.0857
0.9572 0.5224 0.9143
0.3894 0.0218 0.7788
0.6106 0.5218 0.2212
0.7649 0.6783 0.5298
```

Output
As for the size of the total moment: 0.217 μB/f.u. Its density is 10805 kg/m3. As for the space group: Cmc2_1 (36). For the formation enthalpy at 0 K, the calculation gives -0.470 eV per atom.